(1)
Rb14La2O9: optimized geometry, PBE.

Structure (POSCAR):
```
Rb14La2O9
1.0
8.343 0.000 0.000
-4.171 7.225 0.000
0.000 0.000 11.677
Rb La O
14 2 9
direct
0.000 0.000 0.248
0.000 0.000 0.752
0.047 0.680 0.909
0.100 0.384 0.591
0.284 0.900 0.591
0.320 0.367 0.909
0.367 0.047 0.091
0.384 0.284 0.409
0.616 0.716 0.591
0.633 0.953 0.909
0.680 0.633 0.091
0.716 0.100 0.409
0.900 0.616 0.409
0.953 0.320 0.091
0.333 0.667 0.273
0.667 0.333 0.727
0.000 0.000 0.000
0.113 0.377 0.342
0.264 0.887 0.342
0.333 0.667 0.076
0.377 0.264 0.658
0.623 0.736 0.342
0.667 0.333 0.924
0.736 0.113 0.658
0.887 0.623 0.658
```

Summary:
mass density: 3.82 g/cm³
VASP energy: -4.05 eV/atom

(2)
Ag2SnCl4: optimized geometry, PBE.

Structure (POSCAR):
```
Ag2SnCl4
1.0
-4.518 4.518 4.291
4.518 -4.518 4.291
4.518 4.518 -4.291
Ag Sn Cl
4 2 8
direct
0.000 0.000 0.000
0.000 0.000 0.500
0.000 0.500 0.000
0.500 0.000 0.500
0.375 0.625 0.750
0.625 0.375 0.250
0.138 0.697 0.441
0.245 0.303 0.941
0.303 0.245 0.441
0.303 0.862 0.059
0.697 0.138 0.941
0.697 0.755 0.559
0.755 0.697 0.059
0.862 0.303 0.559
```

Summary:
mass density: 4.51 g/cm³
VASP energy: -3.09 eV/atom
distance to the lowest polymorph of the same formula: 0.0000 eV/atom

(3)
Mn2Cr2CdS6: optimized geometry, PBE.

Structure (POSCAR):
```
Mn2Cr2CdS6
1.0
3.077 -5.599 0.000
3.077 5.599 0.000
-1.987 0.000 5.870
Mn Cr Cd S
2 2 1 6
direct
0.161 0.839 0.000
0.839 0.161 0.000
0.336 0.664 0.500
0.664 0.336 0.500
0.000 0.000 0.500
0.060 0.438 0.739
0.269 0.269 0.253
0.438 0.060 0.739
0.562 0.940 0.261
0.731 0.731 0.747
0.940 0.562 0.261
```

Summary:
mass density: 4.26 g/cm³
VASP energy: -6.32 eV/atom